An optimized crystal structure of BiPAuS2. Source: Alexandria, functional PBE.

Unit cell a=4.916 b=4.916 c=4.714 alpha=90.00 beta=90.00 gamma=90.00
Atoms (fractional coordinates):
Bi: 0.000 0.000 0.000
P: 0.500 0.500 0.000
Au: 0.500 0.500 0.500
S: 0.000 0.500 0.500
S: 0.500 0.000 0.500

Summary:
* ΔE_f (raw): 0.60 eV/atom
* Fermi-level density of states: 0.82 states/eV per atom
* space group: P4/mmm